(1)
DFT (PBE-GGA) results for crystalline Pa2RuAu at its relaxed geometry.

Output
The calculation puts the density of states at the Fermi level at 1.574 states/eV/atom. The formation energy is -22 kJ/mol of atoms.

abc: 4.441 4.441 4.213
angles: 90.00 90.00 90.00
Element x y z (fractional)
Pa: 0.000 0.500 0.000
Pa: 0.500 0.000 0.000
Ru: 0.000 0.000 0.500
Au: 0.500 0.500 0.500


(2)
DFT (PBE-GGA) results for crystalline Mg2VCl at its relaxed geometry.

Output
The calculation puts the density of states at the Fermi level at 0.673 states/eV/atom. The calculation puts the uncorrected formation energy at 0.181 eV per atom.

abc: 6.200 6.200 6.200
angles: 102.69 102.69 124.09
Element x y z (fractional)
Mg: 0.089 0.125 0.464
Mg: 0.375 0.911 0.036
Mg: 0.661 0.625 0.536
Mg: 0.875 0.339 0.964
V: 0.250 0.750 0.500
V: 0.500 0.500 0.000
Cl: 0.000 0.000 0.000
Cl: 0.750 0.250 0.500


(3)
DFT (PBE-GGA) results for crystalline Ce2Al41Mo3 at its relaxed geometry.

Output
The calculation puts the density of states at the Fermi level at 0.540 states/eV/atom. The formation energy is -16 kJ/mol of atoms.

abc: 10.323 10.323 10.323
angles: 60.44 60.44 60.44
Element x y z (fractional)
Ce: 0.125 0.125 0.125
Ce: 0.875 0.875 0.875
Al: 0.000 0.000 0.000
Al: 0.000 0.000 0.500
Al: 0.000 0.500 0.000
Al: 0.058 0.324 0.324
Al: 0.058 0.325 0.795
Al: 0.058 0.795 0.325
Al: 0.205 0.675 0.942
Al: 0.205 0.942 0.675
Al: 0.206 0.675 0.675
Al: 0.238 0.238 0.515
Al: 0.238 0.515 0.238
Al: 0.239 0.513 0.513
Al: 0.324 0.058 0.324
Al: 0.324 0.324 0.058
Al: 0.325 0.058 0.795
Al: 0.325 0.325 0.794
Al: 0.325 0.794 0.325
Al: 0.325 0.795 0.058
Al: 0.485 0.762 0.762
Al: 0.487 0.487 0.761
Al: 0.487 0.761 0.487
Al: 0.500 0.000 0.000
Al: 0.500 0.500 0.500
Al: 0.513 0.239 0.513
Al: 0.513 0.513 0.239
Al: 0.515 0.238 0.238
Al: 0.675 0.205 0.942
Al: 0.675 0.206 0.675
Al: 0.675 0.675 0.206
Al: 0.675 0.942 0.205
Al: 0.676 0.676 0.942
Al: 0.676 0.942 0.676
Al: 0.761 0.487 0.487
Al: 0.762 0.485 0.762
Al: 0.762 0.762 0.485
Al: 0.794 0.325 0.325
Al: 0.795 0.058 0.325
Al: 0.795 0.325 0.058
Al: 0.942 0.205 0.675
Al: 0.942 0.675 0.205
Al: 0.942 0.676 0.676
Mo: 0.000 0.500 0.500
Mo: 0.500 0.000 0.500
Mo: 0.500 0.500 0.000


(4)
DFT (PBE-GGA) results for crystalline Al5Ga2Ag12 at its relaxed geometry.

Output
The calculation puts the density of states at the Fermi level at 0.302 states/eV/atom. The formation energy is 7 kJ/mol of atoms.

abc: 7.784 7.784 9.107
angles: 100.71 100.71 42.64
Element x y z (fractional)
Al: 0.000 0.000 0.000
Al: 0.298 0.298 0.120
Al: 0.373 0.373 0.623
Al: 0.627 0.627 0.377
Al: 0.702 0.702 0.880
Ga: 0.237 0.763 0.500
Ga: 0.763 0.237 0.500
Ag: 0.051 0.555 0.384
Ag: 0.109 0.598 0.871
Ag: 0.148 0.148 0.858
Ag: 0.402 0.891 0.129
Ag: 0.445 0.949 0.616
Ag: 0.476 0.476 0.156
Ag: 0.524 0.524 0.844
Ag: 0.555 0.051 0.384
Ag: 0.598 0.109 0.871
Ag: 0.852 0.852 0.142
Ag: 0.891 0.402 0.129
Ag: 0.949 0.445 0.616


(5)
DFT (PBE-GGA) results for crystalline NpSnRhO6 at its relaxed geometry.

Output
The calculation puts the density of states at the Fermi level at 0.324 states/eV/atom. The calculation puts the uncorrected formation energy at -1.668 eV per atom.

abc: 5.436 5.436 8.835
angles: 90.00 90.00 120.00
Element x y z (fractional)
Np: 0.333 0.667 0.250
Np: 0.667 0.333 0.750
Sn: 0.333 0.667 0.750
Sn: 0.667 0.333 0.250
Rh: 0.000 0.000 0.000
Rh: 0.000 0.000 0.500
O: 0.003 0.332 0.625
O: 0.003 0.671 0.875
O: 0.329 0.332 0.875
O: 0.329 0.997 0.625
O: 0.332 0.003 0.125
O: 0.332 0.329 0.375
O: 0.668 0.671 0.625
O: 0.668 0.997 0.875
O: 0.671 0.003 0.375
O: 0.671 0.668 0.125
O: 0.997 0.329 0.125
O: 0.997 0.668 0.375


(6)
DFT (PBE-GGA) results for crystalline BaLiRe2 at its relaxed geometry.

Output
The calculation puts the density of states at the Fermi level at 0.929 states/eV/atom. The formation energy is 121 kJ/mol of atoms.

abc: 2.784 2.784 10.130
angles: 90.00 90.00 102.22
Element x y z (fractional)
Ba: 0.000 0.000 0.000
Li: 0.000 0.000 0.500
Re: 0.500 0.500 0.286
Re: 0.500 0.500 0.714


no.,total magnetization (Bohr magnetons per cell)
1,0.0
2,7.7
3,0.0
4,0.0
5,4.0
6,0.0